First-principles (GGA-PBE) data for LiCuAu4 after structural relaxation, as listed in Alexandria.

Structure (POSCAR):
```
LiCuAu4
1.0
2.2648 -4.7467 0.0000
2.2648 4.7467 0.0000
0.0000 0.0000 4.5347
Li Cu Au
1 1 4
Cartesian
0.0000 0.0000 0.0000 Li
2.2648 0.0000 2.2674 Cu
2.2648 3.2894 2.2674 Au
2.2648 1.4541 0.0000 Au
2.2648 -1.4541 0.0000 Au
2.2648 -3.2894 2.2674 Au
```

Values from the calculation:
V (Å³ per atom): 16.2
DFT formation energy (eV per atom): -0.208
Magnetic moment (μB per formula unit): 0.000
DOS at the Fermi energy (states/eV/cell): 1.367
Energy above the most stable polymorph in this dataset (eV per atom): 0.000
Raw total energy (eV/atom): -3.39